1.
Computed, not measured: a relaxed structure of Ta3AlIr4 at the PBE level of DFT.

Unit cell a=2.898 b=2.898 c=14.785 alpha=90.00 beta=90.00 gamma=90.00
Sites, in units of the cell vectors:
Ta: 0.000 0.000 0.000
Ta: 0.000 0.000 0.261
Ta: 0.000 0.000 0.739
Al: 0.000 0.000 0.500
Ir: 0.500 0.500 0.129
Ir: 0.500 0.500 0.391
Ir: 0.500 0.500 0.609
Ir: 0.500 0.500 0.871

* energy relative to the elements: -0.702 eV/atom
* M_tot: 0.000 μB per cell
* total DFT energy (no corrections): -10.045 eV per atom
* space-group type: P4/mmm, No. 123

---

2.
Computed, not measured: a relaxed structure of NbAl3W at the PBE level of DFT.

Unit cell a=4.750 b=4.750 c=4.750 alpha=90.00 beta=90.00 gamma=90.00
Sites, in units of the cell vectors:
Nb: 0.000 0.000 0.000
Al: 0.000 0.500 0.500
Al: 0.500 0.000 0.500
Al: 0.500 0.500 0.000
W: 0.500 0.500 0.500

* energy relative to the elements: 0.985 eV/atom
* ΔE to the lowest computed polymorph: 0.0000 eV per atom
* M_tot: 2.040 μB per cell
* total DFT energy (no corrections): -5.866 eV per atom
* space-group type: Pm-3m, No. 221

---

3.
Computed, not measured: a relaxed structure of TlMoOsN2 at the PBE level of DFT.

Unit cell a=3.954 b=3.954 c=5.252 alpha=90.00 beta=90.00 gamma=90.00
Sites, in units of the cell vectors:
Tl: 0.000 0.000 0.000
Mo: 0.500 0.500 0.500
Os: 0.500 0.500 0.000
N: 0.000 0.500 0.500
N: 0.500 0.000 0.500

* energy relative to the elements, uncorrected: 5.47 eV per formula unit
* M_tot: 1.452 μB per cell
* total DFT energy (no corrections): -7.122 eV per atom
* space-group type: P4/mmm, No. 123

---

4.
Computed, not measured: a relaxed structure of TiGePd3 at the PBE level of DFT.

Unit cell a=4.590 b=4.590 c=4.590 alpha=90.00 beta=90.00 gamma=90.00
Sites, in units of the cell vectors:
Ti: 0.000 0.000 0.000
Ge: 0.500 0.500 0.500
Pd: 0.000 0.500 0.500
Pd: 0.500 0.000 0.500
Pd: 0.500 0.500 0.000

* energy relative to the elements: 0.246 eV/atom
* ΔE to the lowest computed polymorph: 0.6681 eV per atom
* M_tot: 0.002 μB per cell
* total DFT energy (no corrections): -5.373 eV per atom
* space-group type: Pm-3m, No. 221

---

5.
Computed, not measured: a relaxed structure of Ag7TeSe3 at the PBE level of DFT.

Unit cell a=6.661 b=6.661 c=7.495 alpha=115.41 beta=115.41 gamma=90.21
Sites, in units of the cell vectors:
Ag: 0.000 0.000 0.000
Ag: 0.038 0.500 0.763
Ag: 0.291 0.721 0.265
Ag: 0.489 0.489 0.761
Ag: 0.500 0.038 0.763
Ag: 0.721 0.291 0.265
Ag: 0.739 0.739 0.271
Te: 0.109 0.109 0.458
Se: 0.399 0.892 0.012
Se: 0.661 0.661 0.566
Se: 0.892 0.399 0.012

* energy relative to the elements, uncorrected: -0.20 eV per formula unit
* M_tot: 0.000 μB per cell
* total DFT energy (no corrections): -3.068 eV per atom
* space-group type: Cm, No. 8

---

6.
Computed, not measured: a relaxed structure of NdMgGa2Ni5 at the PBE level of DFT.

Unit cell a=3.936 b=3.936 c=8.984 alpha=90.00 beta=90.00 gamma=90.00
Sites, in units of the cell vectors:
Nd: 0.000 0.000 0.000
Mg: 0.000 0.000 0.500
Ga: 0.500 0.500 0.363
Ga: 0.500 0.500 0.637
Ni: 0.000 0.500 0.222
Ni: 0.000 0.500 0.778
Ni: 0.500 0.000 0.222
Ni: 0.500 0.000 0.778
Ni: 0.500 0.500 0.000

* energy relative to the elements: -0.168 eV/atom
* M_tot: 0.000 μB per cell
* total DFT energy (no corrections): -4.759 eV per atom
* space-group type: P4/mmm, No. 123

---

- Which of these has the highest M_tot?
  NbAl3W